Ce2AsS5 | PBE | optimized geometry

As for the density: 5.2 g/cm3. The calculation puts the formation energy from raw total energies at -1.33 eV per atom.

The space group is Pbam (No. 55) and the conventional cell measures 7.6372, 10.9605 and 3.9678 Å, with angles of 90.00, 90.00 and 90.00 degrees. The asymmetric unit holds Ce at (0.0733, 0.1718, 0.0000), As at (0.0000, 0.5000, 0.5000), S at (0.0000, 0.0000, 0.5000), S at (0.1472, 0.7046, 0.5000) and S at (0.1874, 0.4264, 0.0000).